Record 1
First-principles (GGA-PBE) data for crystalline Na3LaBe at its relaxed geometry, as listed in Alexandria.

Cell lengths 6.480, 6.480, 6.480 Å; angles 90.00, 90.00, 90.00 degrees
Space group Pm-3m (No. 221)
Symmetry-distinct sites (fractional):
1 Na 0.000 0.000 0.500 (multiplicity 3)
2 La 0.000 0.000 0.000 (multiplicity 1)
3 Be 0.500 0.500 0.500 (multiplicity 1)

## Properties
total energy = -0.9724 eV per atom
ΔE to the lowest computed polymorph = 868 meV/atom
calculated volume = 272.1 Å³/cell
DFT formation energy = 1.55 eV/atom
total magnetization = 0.00 μB per atom

=====

Record 2
First-principles (GGA-PBE) data for crystalline InSb2Se at its relaxed geometry, as listed in Alexandria.

Cell lengths 3.605, 5.840, 10.017 Å; angles 90.00, 90.00, 90.00 degrees
Space group Cmmm (No. 65)
Symmetry-distinct sites (fractional):
1 In 0.000 0.000 0.000 (multiplicity 2)
2 Sb 0.000 0.500 0.277 (multiplicity 4)
3 Se 0.000 0.000 0.500 (multiplicity 2)

## Properties
total energy = -3.4496 eV per atom
ΔE to the lowest computed polymorph = 364 meV/atom
calculated volume = 210.9 Å³/cell
E_form (uncorrected) = 16.1 kJ per mole of atoms
total magnetization = 0.00 μB per atom

=====

Record 3
First-principles (GGA-PBE) data for crystalline Nb4SnSe8 at its relaxed geometry, as listed in Alexandria.

Cell lengths 10.724, 10.724, 10.724 Å; angles 90.00, 90.00, 90.00 degrees
Space group F-43m (No. 216)
Symmetry-distinct sites (fractional):
1 Nb 0.101 0.101 0.101 (multiplicity 16)
2 Sn 0.000 0.000 0.500 (multiplicity 4)
3 Se 0.133 0.133 0.867 (multiplicity 16)
4 Se 0.142 0.142 0.358 (multiplicity 16)

## Properties
total energy = -6.2972 eV per atom
ΔE to the lowest computed polymorph = 0 meV/atom
calculated volume = 1233.4 Å³/cell
E_form (uncorrected) = -72.0 kJ per mole of atoms
total magnetization = 0.11 μB per atom

=====

Record 4
First-principles (GGA-PBE) data for crystalline Ho8Hg2Ru at its relaxed geometry, as listed in Alexandria.

Cell lengths 17.468, 5.251, 6.858 Å; angles 90.00, 109.09, 90.00 degrees
Space group C2/m (No. 12)
Symmetry-distinct sites (fractional):
1 Ho 0.023 0.000 0.288 (multiplicity 4)
2 Ho 0.090 0.500 0.925 (multiplicity 4)
3 Ho 0.154 0.500 0.456 (multiplicity 4)
4 Ho 0.197 0.000 0.796 (multiplicity 4)
5 Hg 0.184 0.000 0.213 (multiplicity 4)
6 Ru 0.000 0.500 0.500 (multiplicity 2)

## Properties
total energy = -4.5051 eV per atom
calculated volume = 594.5 Å³/cell
DFT formation energy = -0.28 eV/atom
total magnetization = 0.00 μB per atom

=====

Record 5
First-principles (GGA-PBE) data for crystalline Gd2ErBi at its relaxed geometry, as listed in Alexandria.

Cell lengths 3.5421, 3.5421, 36.3149 Å; angles 90.00, 90.00, 120.00 degrees
Space group R-3m (No. 166, hexagonal axes)
Symmetry-distinct sites (fractional):
1 Gd 0.0000 0.0000 0.0880 (multiplicity 6)
2 Er 0.0000 0.0000 0.5000 (multiplicity 3)
3 Bi 0.0000 0.0000 0.0000 (multiplicity 3)

## Properties
total energy = -9.1376 eV per atom
ΔE to the lowest computed polymorph = 407 meV/atom
calculated volume = 394.6 Å³/cell
DFT formation energy = 0.01 eV/atom
total magnetization = 3.65 μB per atom

=====

Record 6
First-principles (GGA-PBE) data for crystalline Ca3YTe4 at its relaxed geometry, as listed in Alexandria.

Cell lengths 8.967, 12.639, 4.451 Å; angles 90.00, 90.00, 90.00 degrees
Space group Cmmm (No. 65)
Symmetry-distinct sites (fractional):
1 Ca 0.000 0.000 0.000 (multiplicity 2)
2 Ca 0.250 0.250 0.500 (multiplicity 4)
3 Y 0.000 0.500 0.000 (multiplicity 2)
4 Te 0.000 0.253 0.000 (multiplicity 4)
5 Te 0.246 0.500 0.500 (multiplicity 4)

## Properties
total energy = -4.6848 eV per atom
calculated volume = 504.5 Å³/cell
E_form (uncorrected) = -150.1 kJ per mole of atoms
total magnetization = 0.00 μB per atom